No. 1
## KZr2Ag (PBE)

Data for a relaxed structure of KZr2Ag.

abc: 6.5418 6.5418 2.9073
angles: 90.00 90.00 126.08
Atoms (fractional coordinates):
K 0.0000 0.5000 0.5000
Zr 0.5000 0.5000 0.0000
Zr 0.0000 0.0000 0.0000
Ag 0.5000 0.0000 0.5000

The calculation puts the mass density at 5.4 g cm⁻³. The calculation puts the energy above the most stable polymorph in this dataset at 0.546 eV per atom. The value obtained for the calculated total energy is -4.5328 eV/atom. As for the density of states at the Fermi level: 1.0846 states/eV per atom.


No. 2
## K3ZrAg (PBE)

Data for a relaxed structure of K3ZrAg.

abc: 6.3488 6.3488 6.3488
angles: 90.00 90.00 90.00
Site moments in Bohr magnetons follow the coordinates.
Atoms (fractional coordinates):
K 0.0000 0.0000 0.5000  0.02
K 0.5000 0.0000 0.0000  0.02
K 0.0000 0.5000 0.0000  0.03
Ag 0.0000 0.0000 0.0000  0.02
Zr 0.5000 0.5000 0.5000  1.75

The calculation puts the mass density at 2.1 g cm⁻³. The calculation puts the energy above the most stable polymorph in this dataset at 0.000 eV per atom. The value obtained for the calculated total energy is -1.9928 eV/atom. As for the density of states at the Fermi level: 2.0071 states/eV per atom.


No. 3
## KZr2Ag (PBE)

Data for a relaxed structure of KZr2Ag.

abc: 5.6830 5.6830 5.6830
angles: 132.43 132.43 69.55
Atoms (fractional coordinates):
K 0.7500 0.2500 0.5000
Zr 0.2500 0.7500 0.5000
Zr 0.0000 0.0000 0.0000
Ag 0.5000 0.5000 0.0000

The calculation puts the mass density at 5.6 g cm⁻³. The calculation puts the energy above the most stable polymorph in this dataset at 0.701 eV per atom. The value obtained for the calculated total energy is -4.3769 eV/atom. As for the density of states at the Fermi level: 1.3422 states/eV per atom.


No. 4
## KZr2Ag (PBE)

Data for a relaxed structure of KZr2Ag.

abc: 11.9543 11.9543 11.9543
angles: 15.18 15.18 15.18
Atoms (fractional coordinates):
Zr 0.9850 0.9850 0.9850
Zr 0.5150 0.5150 0.5150
K 0.7500 0.7500 0.7500
Ag 0.2500 0.2500 0.2500

The calculation puts the mass density at 5.4 g cm⁻³. The calculation puts the energy above the most stable polymorph in this dataset at 0.324 eV per atom. The value obtained for the calculated total energy is -4.7547 eV/atom. As for the density of states at the Fermi level: 1.7870 states/eV per atom.


No. 5
## KZr2Ag (PBE)

Data for a relaxed structure of KZr2Ag.

abc: 5.0813 5.0813 5.0813
angles: 60.00 60.00 60.00
Atoms (fractional coordinates):
Zr 0.2500 0.2500 0.2500
Zr 0.7500 0.7500 0.7500
K 0.0000 0.0000 0.0000
Ag 0.5000 0.5000 0.5000

The calculation puts the mass density at 5.9 g cm⁻³. The calculation puts the energy above the most stable polymorph in this dataset at 0.712 eV per atom. The value obtained for the calculated total energy is -4.3668 eV/atom. As for the density of states at the Fermi level: 1.7836 states/eV per atom.


No. 6
## KZr2Ag (PBE)

Data for a relaxed structure of KZr2Ag.

abc: 3.0706 3.0706 11.1888
angles: 90.00 90.00 90.00
Atoms (fractional coordinates):
Ag 0.5000 0.5000 0.2500
Zr 0.0000 0.0000 0.4367
Zr 0.0000 0.0000 0.0633
K 0.5000 0.5000 0.7500

The calculation puts the mass density at 5.2 g cm⁻³. The calculation puts the energy above the most stable polymorph in this dataset at 0.286 eV per atom. The value obtained for the calculated total energy is -4.7920 eV/atom. As for the density of states at the Fermi level: 0.9267 states/eV per atom.


No. 7
## KZr2Ag (PBE)

Data for a relaxed structure of KZr2Ag.

abc: 3.0557 3.0557 11.8807
angles: 90.00 90.00 113.44
Atoms (fractional coordinates):
Zr 0.0000 0.0000 0.4562
Zr 0.0000 0.0000 0.0438
K 0.5000 0.5000 0.7500
Ag 0.5000 0.5000 0.2500

The calculation puts the mass density at 5.4 g cm⁻³. The calculation puts the energy above the most stable polymorph in this dataset at 0.318 eV per atom. The value obtained for the calculated total energy is -4.7603 eV/atom. As for the density of states at the Fermi level: 1.0195 states/eV per atom.


No. 8
## KZr2Ag (PBE)

Data for a relaxed structure of KZr2Ag.

abc: 3.1088 5.3053 6.0907
angles: 90.00 90.00 90.00
Atoms (fractional coordinates):
Ag 0.5000 0.0000 0.5000
K 0.0000 0.5000 0.5000
Zr 0.5000 0.5000 0.0000
Zr 0.0000 0.0000 0.0000

The calculation puts the mass density at 5.4 g cm⁻³. The calculation puts the energy above the most stable polymorph in this dataset at 0.419 eV per atom. The value obtained for the calculated total energy is -4.6589 eV/atom. As for the density of states at the Fermi level: 1.0057 states/eV per atom.


No. 9
## KZr2Ag (PBE)

Data for a relaxed structure of KZr2Ag.

abc: 11.3433 11.3433 11.3433
angles: 16.76 16.76 16.76
Site moments in Bohr magnetons follow the coordinates.
Atoms (fractional coordinates):
Ag 0.5110 0.5110 0.5110  0.00
Zr 0.2474 0.2474 0.2474  -0.01
Zr 0.9861 0.9861 0.9861  0.08
K 0.7555 0.7555 0.7555  0.00

The calculation puts the mass density at 5.2 g cm⁻³. The calculation puts the energy above the most stable polymorph in this dataset at 0.140 eV per atom. The value obtained for the calculated total energy is -4.9385 eV/atom. As for the density of states at the Fermi level: 1.0507 states/eV per atom.


No. 10
## KZr2Ag (PBE)

Data for a relaxed structure of KZr2Ag.

abc: 4.2170 4.2170 12.1929
angles: 80.04 80.04 90.00
Atoms (fractional coordinates):
Zr 0.1075 0.6250 0.2500
Zr 0.6425 0.1250 0.2500
Zr 0.3750 0.3575 0.7500
Zr 0.8750 0.8925 0.7500
Ag 0.0000 0.0000 0.0000
Ag 0.7500 0.2500 0.5000
K 0.5000 0.5000 0.0000
K 0.2500 0.7500 0.5000

The calculation puts the mass density at 5.2 g cm⁻³. The calculation puts the energy above the most stable polymorph in this dataset at 0.622 eV per atom. The value obtained for the calculated total energy is -4.4559 eV/atom. As for the density of states at the Fermi level: 1.5084 states/eV per atom.


No. 11
## KZr2Ag (PBE)

Data for a relaxed structure of KZr2Ag.

abc: 3.3039 3.3039 9.9705
angles: 90.00 90.00 90.02
Atoms (fractional coordinates):
K 0.5000 0.5000 0.7197
Zr 0.5000 0.5000 0.2649
Zr 0.0000 0.0000 0.0631
Ag 0.0000 0.0000 0.4523

The calculation puts the mass density at 5.0 g cm⁻³. The calculation puts the energy above the most stable polymorph in this dataset at 0.000 eV per atom. The value obtained for the calculated total energy is -5.0784 eV/atom. As for the density of states at the Fermi level: 0.3416 states/eV per atom.


No. 12
## KZr2Ag (PBE)

Data for a relaxed structure of KZr2Ag.

abc: 6.5824 6.5824 6.5824
angles: 152.99 125.58 61.78
Atoms (fractional coordinates):
K 0.2689 0.7689 0.5000
Zr 0.7423 0.2423 0.5000
Zr 0.9682 0.9682 0.0000
Ag 0.5206 0.5206 0.0000

The calculation puts the mass density at 5.2 g cm⁻³. The calculation puts the energy above the most stable polymorph in this dataset at 0.476 eV per atom. The value obtained for the calculated total energy is -4.6024 eV/atom. As for the density of states at the Fermi level: 1.0183 states/eV per atom.


No. 13
## KZrAg (PBE)

Data for a relaxed structure of KZrAg.

abc: 3.2642 3.2642 8.6123
angles: 90.00 90.00 120.00
Atoms (fractional coordinates):
Ag 0.0000 0.0000 0.9765
Zr 0.6667 0.3333 0.7077
K 0.3333 0.6667 0.3158

The calculation puts the mass density at 5.0 g cm⁻³. The calculation puts the energy above the most stable polymorph in this dataset at 0.041 eV per atom. The value obtained for the calculated total energy is -3.6895 eV/atom. As for the density of states at the Fermi level: 0.7835 states/eV per atom.